Entry 1:
Pm3SnTe2 | PBE | optimized geometry

Values from the calculation:
Magnetic moment: 0.000 μB/cell
E_form (uncorrected): -120.90 kJ/mol of atoms
Space group: Immm
E above lowest polymorph: 0.02 eV/f.u.

Cell and atoms, written as POSCAR:
```
Pm3SnTe2
1.0
4.3561 -0.1392 -1.1407
-0.5095 5.7347 -2.6458
-0.2971 0.0534 7.7596
Te Sn Pm
2 1 3
direct
0.1685 0.6683 0.3366 Te
0.8315 0.3317 0.6634 Te
0.5000 0.0000 0.0000 Sn
0.5000 0.5000 0.0000 Pm
0.8395 0.8396 0.6791 Pm
0.1605 0.1604 0.3209 Pm
```

---

Entry 2:
Pr2ThFe9 | PBE | optimized geometry

Values from the calculation:
Magnetic moment: 18.492 μB/cell
Calculated formation energy: 0.032 eV/atom
Space group: R-3m

Cell and atoms, written as POSCAR:
```
Pr2ThFe9
1.0
4.9551 0.0000 1.4747
2.2581 4.4106 1.4747
0.0474 0.0290 8.9025
Fe Th Pr
9 1 2
direct
0.5777 0.0840 0.7605 Fe
0.5000 0.5000 0.5000 Fe
0.9160 0.4223 0.2395 Fe
0.0840 0.5777 0.7605 Fe
0.4223 0.4223 0.2395 Fe
0.4223 0.9160 0.2395 Fe
0.6675 0.6675 0.9975 Fe
0.3325 0.3325 0.0025 Fe
0.5777 0.5777 0.7605 Fe
0.0000 0.0000 0.0000 Th
0.1417 0.1417 0.5749 Pr
0.8583 0.8583 0.4251 Pr
```